Entry 1:
VASP calculation (PBE) on an optimized crystal structure of NaDyI3.

Geometry as POSCAR:
```
NaDyI3
1.0
8.4928 0.0000 0.0000
-4.2464 7.3550 0.0000
0.0000 0.0000 6.9680
Na Dy I
2 2 6
Direct
0.3333 0.6667 0.2500
0.6667 0.3333 0.7500
0.0000 0.0000 0.0000
0.0000 0.0000 0.5000
0.1722 0.3445 0.7500
0.1722 0.8278 0.7500
0.3445 0.1722 0.2500
0.6555 0.8278 0.7500
0.8278 0.1722 0.2500
0.8278 0.6555 0.2500
```

energy relative to the elements, uncorrected: -5.34 eV/f.u.
raw total energy: -3.183 eV per atom
symmetry: P6_3/mmc (194)
ρ: 4.32 g/cm³
DOS(E_F): 4.13 states/eV/cell

***

Entry 2:
VASP calculation (PBE) on an optimized crystal structure of Na3Dy3IO8.

Geometry as POSCAR:
```
Na3Dy3IO8
1.0
6.1219 -3.3852 0.0000
6.1219 3.3852 0.0000
-3.6539 0.0000 5.6290
Na Dy I O
3 3 1 8
Direct
0.0000 0.0000 0.0000
0.0000 0.5000 0.5000
0.5000 0.0000 0.5000
0.0000 0.5000 0.0000
0.5000 0.0000 0.0000
0.5000 0.5000 0.5000
0.0000 0.0000 0.5000
0.2084 0.7450 0.2627
0.2552 0.2552 0.7827
0.2550 0.7916 0.7373
0.2755 0.2755 0.2561
0.7245 0.7245 0.7439
0.7450 0.2084 0.2627
0.7448 0.7448 0.2173
0.7916 0.2550 0.7373
```

energy relative to the elements, uncorrected: -32.98 eV/f.u.
raw total energy: -6.131 eV per atom
symmetry: C2/m (12)
ρ: 5.77 g/cm³
DOS(E_F): 0.34 states/eV/cell

***

Entry 3:
VASP calculation (PBE) on an optimized crystal structure of NaDyI2O8.

Geometry as POSCAR:
```
NaDyI2O8
1.0
-2.6626 2.6626 5.9152
2.6626 -2.6626 5.9152
2.6626 2.6626 -5.9152
Na Dy I O
1 1 2 8
Direct
0.0000 0.0000 0.0000
0.7500 0.2500 0.5000
0.2500 0.7500 0.5000
0.5000 0.5000 0.0000
0.0616 0.6418 0.0467
0.1754 0.2546 0.5923
0.3582 0.4049 0.4198
0.4169 0.8246 0.0792
0.5951 0.0149 0.9533
0.6623 0.5831 0.4077
0.7454 0.3377 0.9208
0.9851 0.9384 0.5802
```

energy relative to the elements, uncorrected: -12.46 eV/f.u.
raw total energy: -5.096 eV per atom
symmetry: I-4 (82)
ρ: 5.62 g/cm³
DOS(E_F): 1.90 states/eV/cell